1.
Crystalline HfPb3F at its relaxed geometry, computed with PBE-GGA.

Unit cell a=4.997 b=4.997 c=4.997 alpha=90.00 beta=90.00 gamma=90.00
Fractional positions:
Pb1 0.000 0.000 0.500
Pb2 0.000 0.500 0.000
Pb3 0.500 0.000 0.000
Hf1 0.500 0.500 0.500
F1 0.000 0.000 0.000

Output
* uncorrected formation energy: -0.2260 eV/atom
* symmetry: No. 221


2.
Crystalline CdCo2Tc at its relaxed geometry, computed with PBE-GGA.

Unit cell a=4.836 b=4.836 c=4.595 alpha=74.33 beta=74.33 gamma=32.34
Fractional positions:
Co1 0.736 0.736 0.719
Tc1 0.480 0.480 0.561
Co2 0.023 0.023 0.010
Cd1 0.261 0.261 0.210

Output
* energy of formation from the pure elements: 0.341 eV per atom
* symmetry: No. 8


For the records above, the corresponding M_tot values read 0.00 0.57 μB/atom.